VASP calculation (SCAN) on a crystal of BaTe3Rh relaxed with PBEsol.

Results
Formation energy without anion corrections   539 kJ/mol of formula units
E above lowest polymorph   1824 meV/atom
D(E_F)   6.80 states/eV/f.u.
Calculated total energy   -35.897 eV per atom

Lattice parameters (Å, degrees): 6.234 6.234 6.234 90.00 90.00 90.00
Space group Pm-3m (No. 221)
One atom of each set of equivalent atoms:
1 Ba 0.000 0.000 0.000 x1
2 Te 0.000 0.000 0.500 x3
3 Rh 0.500 0.500 0.500 x1